Here is a relaxed structure of BaDy2PtO5 from the Alexandria database. Energies are from GGA-PBE.

Results
SG	P4/mbm (127)
crystal system	tetragonal
calculated volume	129.3	Å³/f.u.
VASP energy	-7.34	eV per atom

The structure in POSCAR format:
```
BaDy2PtO5
1.0
-4.008 1.171 -4.231
3.609 -3.390 -4.357
-3.271 -5.506 1.575
O Pt Ba Dy
10 2 2 4
Direct
0.263 0.139 0.639
0.263 0.361 0.139
0.263 0.861 0.361
0.500 0.500 0.500
0.737 0.639 0.861
0.737 0.361 0.139
0.263 0.639 0.861
0.737 0.861 0.361
0.500 0.000 0.000
0.737 0.139 0.639
0.000 0.500 0.000
0.000 0.000 0.500
0.000 0.500 0.500
0.000 0.000 0.000
0.500 0.325 0.825
0.500 0.675 0.175
0.500 0.175 0.325
0.500 0.825 0.675
```